Compound: AgP2IrAu
Source: the Alexandria database
Functional: PBE
Structure: optimized geometry

a = 4.6628 Å, b = 4.6628 Å, c = 5.1319 Å
α = 90.00°, β = 90.00°, γ = 90.00°
Fractional coordinates of all 5 atoms:
1 Ag 0.0000 0.0000 0.0000
2 P 0.0000 0.5000 0.5000
3 P 0.5000 0.0000 0.5000
4 Ir 0.5000 0.5000 0.0000
5 Au 0.5000 0.5000 0.5000

Summary:
Total DFT energy (no corrections) ... -3.681 eV per atom
Space-group type ... P4/mmm, No. 123
Crystal system ... tetragonal
V ... 111.6 Å³ per cell
N(E_F) ... 1.136 states/eV per atom